Record 1
Here is a relaxed La6GeRu2I3 crystal from Alexandria. Energies are from PBE-GGA.

Cell and atoms, written as CIF:
```
data_La6GeRu2I3
_space_group_name_H-M_alt 'C 1 2/m 1'
_space_group_IT_number 12
_cell_length_a 7.512
_cell_length_b 12.952
_cell_length_c 8.524
_cell_angle_alpha 90.00
_cell_angle_beta 107.58
_cell_angle_gamma 90.00
loop_
_space_group_symop_operation_xyz
'x,y,z'
'-x,-y,-z'
'-x,y,-z'
'x,-y,z'
'x+1/2,y+1/2,z'
'-x+1/2,-y+1/2,-z'
'-x+1/2,y+1/2,-z'
'x+1/2,-y+1/2,z'
loop_
_atom_site_label
_atom_site_type_symbol
_atom_site_fract_x
_atom_site_fract_y
_atom_site_fract_z
La1 La 0.207 0.000 0.187
La2 La 0.232 0.322 0.189
Ge1 Ge 0.000 0.500 0.000
Ru1 Ru 0.000 0.168 0.000
I1 I 0.000 0.000 0.500
I2 I 0.000 0.338 0.500
```

Formation energy without anion corrections   -877 meV per atom
Theoretical density   6254 kg/m3
E   -5.659 eV per atom

=====

Record 2
Here is a relaxed La6Ge2SI3 crystal from Alexandria. Energies are from PBE-GGA.

Cell and atoms, written as CIF:
```
data_La6Ge2SI3
_space_group_name_H-M_alt 'C 1 2/m 1'
_space_group_IT_number 12
_cell_length_a 7.565
_cell_length_b 13.110
_cell_length_c 8.234
_cell_angle_alpha 90.00
_cell_angle_beta 107.87
_cell_angle_gamma 90.00
loop_
_space_group_symop_operation_xyz
'x,y,z'
'-x,-y,-z'
'-x,y,-z'
'x,-y,z'
'x+1/2,y+1/2,z'
'-x+1/2,-y+1/2,-z'
'-x+1/2,y+1/2,-z'
'x+1/2,-y+1/2,z'
loop_
_atom_site_label
_atom_site_type_symbol
_atom_site_fract_x
_atom_site_fract_y
_atom_site_fract_z
La1 La 0.229 0.163 0.198
La2 La 0.241 0.500 0.200
Ge1 Ge 0.000 0.334 0.000
S1 S 0.000 0.000 0.000
I1 I 0.000 0.170 0.500
I2 I 0.000 0.500 0.500
```

Formation energy without anion corrections   -1285 meV per atom
Theoretical density   5946 kg/m3
E   -5.250 eV per atom

=====

Record 3
Here is a relaxed La8GeS3I4 crystal from Alexandria. Energies are from PBE-GGA.

Cell and atoms, written as CIF:
```
data_La8GeS3I4
_space_group_name_H-M_alt 'R -3 m'
_space_group_IT_number 166
_space_group_name_Hall '-R 3 2"'
_cell_length_a 8.5264
_cell_length_b 8.5264
_cell_length_c 23.5683
_cell_angle_alpha 90.00
_cell_angle_beta 90.00
_cell_angle_gamma 120.00
loop_
_atom_site_label
_atom_site_type_symbol
_atom_site_fract_x
_atom_site_fract_y
_atom_site_fract_z
La1 La 0.0000 0.0000 0.2302
La2 La 0.0112 0.5056 0.7681
Ge1 Ge 0.0000 0.0000 0.5000
S1 S 0.0000 0.5000 0.5000
I1 I 0.0000 0.0000 0.0000
I2 I 0.0000 0.5000 0.0000
```

Formation energy without anion corrections   -1495 meV per atom
Theoretical density   6002 kg/m3
E   -5.409 eV per atom